The following is a DFT calculation (PBE-GGA) of Pr6Nd2Zn after structural relaxation.

energy	-39.84	eV for the cell shown
formation enthalpy at 0 K	-0.040	eV per atom

abc: 9.6793 9.6793 3.7751
angles: 90.00 90.00 120.00
With the nearest neighbours (Å) after each atom.
Space group P-62m (No. 189)
Unique sites:
Pr (0.0000, 0.2585, 0.0000) x3  2 Zn 3.13
Pr (0.0000, 0.6203, 0.5000) x3  4 Nd 3.57, 1 Zn 3.68, 8 Pr 3.76-3.98
Nd (0.3333, 0.6667, 0.0000) x2  9 Pr 3.57-3.64, 2 Nd 3.78
Zn (0.0000, 0.0000, 0.5000) x1  6 Pr 3.13

The following is a DFT calculation (PBE-GGA) of K3C after structural relaxation.

energy	-16.54	eV for the cell shown
formation enthalpy at 0 K	1.061	eV per atom

abc: 7.8420 4.5411 11.2791
angles: 90.00 103.30 90.00
With the nearest neighbours (Å) after each atom.
Space group C2/m (No. 12)
Unique sites:
K (0.0000, 0.0000, 0.0000) x2  12 K 4.53-4.83
K (0.2098, 0.0000, 0.6309) x4  3 C 2.98-2.99
C (0.0000, 0.5000, 0.5000) x2  6 K 2.98-2.99

The following is a DFT calculation (PBE-GGA) of RbNaS2 after structural relaxation.

energy	-32.30	eV for the cell shown

abc: 3.9695 3.9695 29.3083
angles: 90.00 90.00 120.00
With the nearest neighbours (Å) after each atom.
Space group R-3m (No. 166, hexagonal axes)
Unique sites:
Rb (0.0000, 0.0000, 0.0000) x3  2 S 3.04
Na (0.0000, 0.0000, 0.5000) x3  6 S 2.94
S (0.0000, 0.0000, 0.1038) x6  3 Na 2.94, 1 Rb 3.04

The following is a DFT calculation (PBE-GGA) of Sb5Pd12Au2 after structural relaxation.

energy	-189.53	eV for the cell shown

abc: 15.0304 5.5421 9.0535
angles: 90.00 105.67 90.00
With the nearest neighbours (Å) after each atom.
Space group C2/m (No. 12)
Unique sites:
Sb (0.0000, 0.0000, 0.0000) x2  6 Pd 2.68
Sb (0.1457, 0.5000, 0.3559) x4  7 Pd 2.58-2.74
Sb (0.1855, 0.5000, 0.8508) x4  7 Pd 2.60-2.77
Pd (0.0121, 0.5000, 0.8484) x4  2 Sb 2.58-2.60, 1 Pd 2.86
Pd (0.1003, 0.0000, 0.7962) x4  1 Sb 2.68, 4 Pd 2.83-3.00
Pd (0.1570, 0.2530, 0.1000) x8  4 Sb 2.68-2.77, 4 Pd 2.74-3.00
Pd (0.1950, 0.2435, 0.6100) x8  3 Sb 2.63-2.69, 5 Pd 2.70-2.95, 1 Au 2.83
Au (0.0000, 0.2456, 0.5000) x4  2 Au 2.72-2.82, 4 Pd 2.83-3.02

The following is a DFT calculation (PBE-GGA) of LaMo after structural relaxation.

energy	-29.17	eV for the cell shown
formation enthalpy at 0 K	0.587	eV per atom

abc: 5.2524 5.2524 4.7314
angles: 90.00 90.00 120.00
With the nearest neighbours (Å) after each atom.
Space group P6_3/mmc (No. 194)
Unique sites:
La (0.3333, 0.6667, 0.2500) x2  6 Mo 3.25
Mo (0.0000, 0.0000, 0.0000) x2  2 Mo 2.37

The following is a DFT calculation (PBE-GGA) of NpZn2HgO8 after structural relaxation.

energy	-69.93	eV for the cell shown

abc: 4.8188 4.8235 6.7838
angles: 85.07 85.04 86.20
With the nearest neighbours (Å) after each atom.
Space group P-1 (No. 2)
Unique sites:
Np (0.0000, 0.0000, 0.0000) x1  4 O 1.88-1.98
Zn (0.4793, 0.4793, 0.2568) x2  6 O 2.06-2.18
Hg (0.0000, 0.0000, 0.5000) x1  4 O 2.04-2.06
O (0.1889, 0.1870, 0.2463) x2  1 Hg 2.04, 1 Zn 2.06, 1 Np 2.25
O (0.2160, 0.2134, 0.8057) x2  1 Np 1.88
O (0.2990, 0.6989, 0.0001) x2  1 Np 1.98, 2 Zn 2.18
O (0.3119, 0.6862, 0.5002) x2  1 Hg 2.06, 2 Zn 2.08

| no. | calculated volume (Å³ per cell) | mass density (g/cm³) | total magnetic moment (μB/f.u.) |
| --- | --- | --- | --- |
| 1 | 306.3 | 6.502 | 0.000 |
| 2 | 390.9 | 1.099 | 2.091 |
| 3 | 399.9 | 2.150 | 2.000 |
| 4 | 726.1 | 10.427 | 0.000 |
| 5 | 113.0 | 6.900 | 0.000 |
| 6 | 156.2 | 7.402 | 0.788 |